Crystalline TlOsW2 at its relaxed geometry, computed with PBE.

Summary:
Density of states at the Fermi level in states/eV/f.u.: 3.82
Energy of formation in eV per formula unit: 4.2

Cell: 4.800 4.800 2.962 Å, 90.00 90.00 90.00°
Space group P4/mmm (No. 123)
One atom of each set of equivalent atoms:
Tl 0.000 0.000 0.000 (multiplicity 1)
Os 0.500 0.500 0.000 (multiplicity 1)
W 0.000 0.500 0.500 (multiplicity 2)